[1]
Compound: KYI3
Source: Alexandria via LeMat-Bulk
Functional: PBE
Structure: optimized geometry

Properties
distance to the lowest polymorph of the same formula	888	meV/atom

Structure (CIF):
```
data_KYI3
_chemical_formula_sum 'K1 Y1 I3'
_space_group_name_H-M_alt 'P m -3 m'
_space_group_IT_number 221
_space_group_name_Hall '-P 4 2 3'
_cell_length_a 6.162
_cell_length_b 6.162
_cell_length_c 6.162
_cell_angle_alpha 90.00
_cell_angle_beta 90.00
_cell_angle_gamma 90.00
loop_
_atom_site_label
_atom_site_fract_x
_atom_site_fract_y
_atom_site_fract_z
_atom_site_occupancy
K1 0.000 0.000 0.000 1
Y1 0.500 0.500 0.500 1
I1 0.000 0.000 0.500 1
```



[2]
Compound: K2YI4
Source: Alexandria via LeMat-Bulk
Functional: PBE
Structure: optimized geometry

Properties
E_tot	-0.2475	Ry per atom

Structure (CIF):
```
data_K2YI4
_chemical_formula_sum 'K4 Y2 I8'
_space_group_name_H-M_alt 'I 4/m m m'
_space_group_IT_number 139
_space_group_name_Hall '-I 4 2'
_cell_length_a 6.032
_cell_length_b 6.032
_cell_length_c 17.973
_cell_angle_alpha 90.00
_cell_angle_beta 90.00
_cell_angle_gamma 90.00
loop_
_atom_site_label
_atom_site_fract_x
_atom_site_fract_y
_atom_site_fract_z
_atom_site_occupancy
K1 0.000 0.000 0.135 1
Y1 0.000 0.000 0.500 1
I1 0.000 0.000 0.328 1
I2 0.000 0.500 0.000 1
```



[3]
Compound: KYbI3
Source: Alexandria via LeMat-Bulk
Functional: PBE
Structure: optimized geometry

Properties
E_tot	-0.2226	Ry per atom

Structure (CIF):
```
data_KYbI3
_chemical_formula_sum 'K4 Yb4 I12'
_space_group_name_H-M_alt 'C m c m'
_space_group_IT_number 63
_space_group_name_Hall '-C 2c 2'
_cell_length_a 4.574
_cell_length_b 15.444
_cell_length_c 11.725
_cell_angle_alpha 90.00
_cell_angle_beta 90.00
_cell_angle_gamma 90.00
loop_
_atom_site_label
_atom_site_fract_x
_atom_site_fract_y
_atom_site_fract_z
_atom_site_occupancy
K1 0.000 0.246 0.250 1
Yb1 0.000 0.500 0.000 1
I1 0.000 0.134 0.556 1
I2 0.000 0.429 0.750 1
```



[4]
Compound: K3ZnI6
Source: Alexandria via LeMat-Bulk
Functional: PBE
Structure: optimized geometry

Properties
E_tot	-0.1786	Ry per atom

Structure (CIF):
```
data_K3ZnI6
_chemical_formula_sum 'K12 Zn4 I24'
_space_group_name_H-M_alt 'C m c 21'
_space_group_IT_number 36
_space_group_name_Hall 'C 2c -2'
_cell_length_a 14.772
_cell_length_b 19.268
_cell_length_c 6.871
_cell_angle_alpha 90.00
_cell_angle_beta 90.00
_cell_angle_gamma 90.00
loop_
_atom_site_label
_atom_site_fract_x
_atom_site_fract_y
_atom_site_fract_z
_atom_site_occupancy
K1 0.000 0.121 0.000 1
K2 0.183 0.381 0.024 1
Zn1 0.000 0.295 0.605 1
I1 0.000 0.288 0.225 1
I2 0.000 0.427 0.711 1
I3 0.148 0.232 0.730 1
I4 0.162 0.003 0.265 1
```



[5]
Compound: K2Zn2I
Source: Alexandria via LeMat-Bulk
Functional: PBE
Structure: optimized geometry

Properties
distance to the lowest polymorph of the same formula	0	meV/atom

Structure (CIF):
```
data_K2Zn2I
_chemical_formula_sum 'K4 Zn4 I2'
_space_group_name_H-M_alt 'P 4/m b m'
_space_group_IT_number 127
_space_group_name_Hall '-P 4 2ab'
_cell_length_a 9.141
_cell_length_b 9.141
_cell_length_c 4.454
_cell_angle_alpha 90.00
_cell_angle_beta 90.00
_cell_angle_gamma 90.00
loop_
_atom_site_label
_atom_site_fract_x
_atom_site_fract_y
_atom_site_fract_z
_atom_site_occupancy
K1 0.196 0.304 0.000 1
Zn1 0.101 0.601 0.500 1
I1 0.000 0.000 0.500 1
```



[6]
Compound: K3ZnI
Source: Alexandria via LeMat-Bulk
Functional: PBE
Structure: optimized geometry

Properties
distance to the lowest polymorph of the same formula	0	meV/atom

Structure (CIF):
```
data_K3ZnI
_chemical_formula_sum 'K3 Zn1 I1'
_space_group_name_H-M_alt 'P m -3 m'
_space_group_IT_number 221
_space_group_name_Hall '-P 4 2 3'
_cell_length_a 6.813
_cell_length_b 6.813
_cell_length_c 6.813
_cell_angle_alpha 90.00
_cell_angle_beta 90.00
_cell_angle_gamma 90.00
loop_
_atom_site_label
_atom_site_fract_x
_atom_site_fract_y
_atom_site_fract_z
_atom_site_occupancy
K1 0.000 0.000 0.500 1
Zn1 0.500 0.500 0.500 1
I1 0.000 0.000 0.000 1
```



[7]
Compound: KZn3I
Source: Alexandria via LeMat-Bulk
Functional: PBE
Structure: optimized geometry

Properties
distance to the lowest polymorph of the same formula	31	meV/atom

Structure (CIF):
```
data_KZn3I
_chemical_formula_sum 'K1 Zn3 I1'
_space_group_name_H-M_alt 'P m -3 m'
_space_group_IT_number 221
_space_group_name_Hall '-P 4 2 3'
_cell_length_a 6.636
_cell_length_b 6.636
_cell_length_c 6.636
_cell_angle_alpha 90.00
_cell_angle_beta 90.00
_cell_angle_gamma 90.00
loop_
_atom_site_label
_atom_site_fract_x
_atom_site_fract_y
_atom_site_fract_z
_atom_site_occupancy
K1 0.000 0.000 0.000 1
Zn1 0.000 0.500 0.500 1
I1 0.500 0.500 0.500 1
```



[8]
Compound: K2ZnI4
Source: Alexandria via LeMat-Bulk
Functional: PBE
Structure: optimized geometry

Properties
distance to the lowest polymorph of the same formula	125	meV/atom

Structure (CIF):
```
data_K2ZnI4
_chemical_formula_sum 'K4 Zn2 I8'
_space_group_name_H-M_alt 'I 4/m m m'
_space_group_IT_number 139
_space_group_name_Hall '-I 4 2'
_cell_length_a 5.841
_cell_length_b 5.841
_cell_length_c 17.286
_cell_angle_alpha 90.00
_cell_angle_beta 90.00
_cell_angle_gamma 90.00
loop_
_atom_site_label
_atom_site_fract_x
_atom_site_fract_y
_atom_site_fract_z
_atom_site_occupancy
K1 0.000 0.000 0.133 1
Zn1 0.000 0.000 0.500 1
I1 0.000 0.000 0.339 1
I2 0.000 0.500 0.000 1
```



[9]
Compound: K2Zn2I
Source: Alexandria via LeMat-Bulk
Functional: PBE
Structure: optimized geometry

Properties
distance to the lowest polymorph of the same formula	105	meV/atom

Structure (CIF):
```
data_K2Zn2I
_chemical_formula_sum 'K4 Zn4 I2'
_space_group_name_H-M_alt 'I 4/m m m'
_space_group_IT_number 139
_space_group_name_Hall '-I 4 2'
_cell_length_a 6.381
_cell_length_b 6.381
_cell_length_c 10.303
_cell_angle_alpha 90.00
_cell_angle_beta 90.00
_cell_angle_gamma 90.00
loop_
_atom_site_label
_atom_site_fract_x
_atom_site_fract_y
_atom_site_fract_z
_atom_site_occupancy
K1 0.000 0.500 0.250 1
Zn1 0.000 0.000 0.124 1
I1 0.000 0.000 0.500 1
```



[10]
Compound: K4ZnI6
Source: Alexandria via LeMat-Bulk
Functional: PBE
Structure: optimized geometry

Properties
E_tot	-0.1891	Ry per atom

Structure (CIF):
```
data_K4ZnI6
_chemical_formula_sum 'K16 Zn4 I24'
_space_group_name_H-M_alt 'C 1 c 1'
_space_group_IT_number 9
_space_group_name_Hall 'C -2yc'
_cell_length_a 16.892
_cell_length_b 8.892
_cell_length_c 16.614
_cell_angle_alpha 90.00
_cell_angle_beta 112.07
_cell_angle_gamma 90.00
loop_
_atom_site_label
_atom_site_fract_x
_atom_site_fract_y
_atom_site_fract_z
_atom_site_occupancy
K1 0.000 0.136 0.000 1
K2 0.139 0.358 0.462 1
K3 0.270 0.200 0.821 1
K4 0.427 0.182 0.172 1
Zn1 0.207 0.266 0.227 1
I1 0.046 0.304 0.206 1
I2 0.095 0.287 0.869 1
I3 0.221 0.028 0.134 1
I4 0.279 0.494 0.179 1
I5 0.294 0.196 0.393 1
I6 0.459 0.262 0.988 1
```



[11]
Compound: KZnI2
Source: Alexandria via LeMat-Bulk
Functional: PBE
Structure: optimized geometry

Properties
distance to the lowest polymorph of the same formula	170	meV/atom

Structure (CIF):
```
data_KZnI2
_chemical_formula_sum 'K4 Zn4 I8'
_space_group_name_H-M_alt 'F m -3 m'
_space_group_IT_number 225
_space_group_name_Hall '-F 4 2 3'
_cell_length_a 8.251
_cell_length_b 8.251
_cell_length_c 8.251
_cell_angle_alpha 90.00
_cell_angle_beta 90.00
_cell_angle_gamma 90.00
loop_
_atom_site_label
_atom_site_fract_x
_atom_site_fract_y
_atom_site_fract_z
_atom_site_occupancy
K1 0.000 0.000 0.000 1
Zn1 0.000 0.000 0.500 1
I1 0.250 0.250 0.250 1
```



[12]
Compound: K2ZnI4
Source: Alexandria via LeMat-Bulk
Functional: PBE
Structure: optimized geometry

Properties
distance to the lowest polymorph of the same formula	0	meV/atom

Structure (CIF):
```
data_K2ZnI4
_chemical_formula_sum 'K4 Zn2 I8'
_space_group_name_H-M_alt 'P 1 21/m 1'
_space_group_IT_number 11
_space_group_name_Hall '-P 2yb'
_cell_length_a 8.040
_cell_length_b 8.242
_cell_length_c 9.761
_cell_angle_alpha 90.00
_cell_angle_beta 107.82
_cell_angle_gamma 90.00
loop_
_atom_site_label
_atom_site_fract_x
_atom_site_fract_y
_atom_site_fract_z
_atom_site_occupancy
K1 0.224 0.250 0.056 1
K2 0.253 0.250 0.563 1
Zn1 0.226 0.750 0.803 1
I1 0.008 0.000 0.745 1
I2 0.408 0.750 0.077 1
I3 0.417 0.750 0.626 1
```



Copy entry 10 word for word.
Compound: K4ZnI6
Source: Alexandria via LeMat-Bulk
Functional: PBE
Structure: optimized geometry

Properties
E_tot	-0.1891	Ry per atom

Structure (CIF):
```
data_K4ZnI6
_chemical_formula_sum 'K16 Zn4 I24'
_space_group_name_H-M_alt 'C 1 c 1'
_space_group_IT_number 9
_space_group_name_Hall 'C -2yc'
_cell_length_a 16.892
_cell_length_b 8.892
_cell_length_c 16.614
_cell_angle_alpha 90.00
_cell_angle_beta 112.07
_cell_angle_gamma 90.00
loop_
_atom_site_label
_atom_site_fract_x
_atom_site_fract_y
_atom_site_fract_z
_atom_site_occupancy
K1 0.000 0.136 0.000 1
K2 0.139 0.358 0.462 1
K3 0.270 0.200 0.821 1
K4 0.427 0.182 0.172 1
Zn1 0.207 0.266 0.227 1
I1 0.046 0.304 0.206 1
I2 0.095 0.287 0.869 1
I3 0.221 0.028 0.134 1
I4 0.279 0.494 0.179 1
I5 0.294 0.196 0.393 1
I6 0.459 0.262 0.988 1
```